{
  "formula": "BaZn3Rh",
  "functional": "PBE",
  "state": "relaxed",
  "lattice": [[4.277, 0.000, 0.000], [-2.139, 3.704, 0.000], [0.000, 0.000, 18.969]],
  "species": ["Ba", "Ba", "Zn", "Zn", "Zn", "Zn", "Zn", "Zn", "Rh", "Rh"],
  "fractional_positions": [[0.000, 0.000, 0.000], [0.000, 0.000, 0.500], [0.000, 0.000, 0.250], [0.000, 0.000, 0.750], [0.333, 0.667, 0.124], [0.333, 0.667, 0.376], [0.667, 0.333, 0.624], [0.667, 0.333, 0.876], [0.333, 0.667, 0.250], [0.667, 0.333, 0.750]],
  "e_form_kcal_per_mol_atoms": 5.418,
  "space_group": "P6_3/mmc (194)",
  "energy_ev_per_fu": -11.92,
  "crystal_system": "hexagonal",
  "vol_a3_per_cell": 300.54
}